1.
An optimized crystal structure of Li3Al6Pd2, computed with PBE.

Volume: 174.5 Å³/cell
Density of states at the Fermi level: 0.3315 states/eV per atom
Formation energy: -361 meV/atom
Energy: -42.56 eV per cell

abc: 5.1207 5.1325 7.5315
angles: 93.41 93.67 117.37
Closest atoms and distances in Å follow each position.
Positions (direct):
Li 0.0000 0.0000 0.0000  2 Li 2.55, 2 Pd 2.67, 4 Al 2.71-2.74
Li 0.0391 0.0348 0.6651  2 Li 2.47-2.55
Li 0.9609 0.9652 0.3349  2 Li 2.47-2.55
Al 0.0725 0.5560 0.8286  2 Pd 2.53-2.62, 3 Al 2.66-2.75, 2 Li 2.74-2.80
Al 0.3355 0.6655 0.5004  2 Pd 2.61-2.62, 4 Al 2.84-2.91
Al 0.4411 0.9322 0.1743  2 Pd 2.54-2.62, 3 Al 2.66-2.79, 2 Li 2.71-2.78
Al 0.5589 0.0678 0.8257  2 Pd 2.54-2.62, 3 Al 2.66-2.79, 2 Li 2.71-2.78
Al 0.6645 0.3345 0.4996  2 Pd 2.61-2.62, 4 Al 2.84-2.91
Al 0.9275 0.4440 0.1714  2 Pd 2.53-2.62, 3 Al 2.66-2.75, 2 Li 2.74-2.80
Pd 0.4384 0.4422 0.2091  6 Al 2.53-2.62, 3 Li 2.67-2.83
Pd 0.5616 0.5578 0.7909  6 Al 2.53-2.62, 3 Li 2.67-2.83

---

2.
An optimized crystal structure of HoMnRhAu, computed with PBE.

Volume: 74.2 Å³/cell
Density of states at the Fermi level: 0.5620 states/eV per atom
Formation energy: -428 meV/atom
Energy: -26.09 eV per cell

abc: 4.7160 4.7160 4.7160
angles: 60.00 60.00 60.00
Closest atoms and distances in Å follow each position.
Positions (direct):
Ho 0.0000 0.0000 0.0000  4 Rh 2.89, 4 Au 2.89
Mn 0.5000 0.5000 0.5000  4 Rh 2.89, 4 Au 2.89
Rh 0.7500 0.7500 0.7500  4 Mn 2.89, 4 Ho 2.89
Au 0.2500 0.2500 0.2500  4 Mn 2.89, 4 Ho 2.89

---

3.
An optimized crystal structure of Al4CdTc, computed with PBE.

Volume: 96.8 Å³/cell
Density of states at the Fermi level: 0.5848 states/eV per atom
Formation energy: 78 meV/atom
Energy: -25.78 eV per cell

abc: 5.1531 5.1531 5.1531
angles: 60.00 60.00 60.00
Closest atoms and distances in Å follow each position.
Positions (direct):
Al 0.3759 0.3759 0.3759  6 Al 2.56-2.59
Al 0.3759 0.3759 0.8724  6 Al 2.56-2.59
Al 0.3759 0.8724 0.3759  6 Al 2.56-2.59
Al 0.8724 0.3759 0.3759  6 Al 2.56-2.59
Cd 0.0000 0.0000 0.0000  12 Al 3.02, 4 Tc 3.16
Tc 0.7500 0.7500 0.7500  12 Al 3.02, 4 Cd 3.16

---

4.
An optimized crystal structure of BaHgN2O, computed with PBE.

Volume: 86.3 Å³/cell
Density of states at the Fermi level: 0.5703 states/eV per atom
Energy: -20.73 eV per cell
ΔE_f (raw): 0.621 eV per atom

abc: 4.3310 4.3310 4.5994
angles: 90.00 90.00 90.00
Closest atoms and distances in Å follow each position.
Positions (direct):
Ba 0.0000 0.0000 0.0000  4 O 3.06, 8 N 3.16
Hg 0.5000 0.5000 0.5000  4 N 2.17, 2 O 2.30
N 0.0000 0.5000 0.5000  2 Hg 2.17
N 0.5000 0.0000 0.5000  2 Hg 2.17
O 0.5000 0.5000 0.0000  2 Hg 2.30

---

5.
An optimized crystal structure of NiOs2Se, computed with PBE.

Volume: 58.1 Å³/cell
Density of states at the Fermi level: 0.8337 states/eV per atom
Energy: -29.67 eV per cell
ΔE_f (raw): 0.515 eV per atom

abc: 4.5482 4.5482 4.7947
angles: 100.02 100.02 36.57
Closest atoms and distances in Å follow each position.
Positions (direct):
Ni 0.0000 0.0000 0.0000  3 Se 2.41-2.66, 5 Os 2.67-2.69
Os 0.2493 0.2493 0.7445  2 Se 2.54, 3 Os 2.58-2.62, 3 Ni 2.67-2.69
Os 0.5019 0.5019 0.5271  5 Os 2.58-2.85, 2 Ni 2.68, 2 Se 2.81
Se 0.7580 0.7580 0.1841  3 Ni 2.41-2.66, 2 Os 2.54

---

6.
An optimized crystal structure of Pm4PrHo, computed with PBE.

Volume: 205.3 Å³/cell
Density of states at the Fermi level: 1.7793 states/eV per atom
Formation energy: 108 meV/atom
Energy: -27.71 eV per cell
Offset from the most stable computed form: 0.00 eV per formula unit

abc: 6.4171 6.4171 6.0864
angles: 90.18 90.18 55.01
Closest atoms and distances in Å follow each position.
Positions (direct):
Pm 0.1741 0.1741 0.0460  1 Ho 3.41, 4 Pm 3.48-3.50, 3 Pr 3.58-3.72
Pm 0.3247 0.3247 0.5451  1 Pr 3.41, 4 Pm 3.46-3.50, 3 Ho 3.58-3.71
Pm 0.6753 0.6753 0.4549  1 Pr 3.41, 4 Pm 3.46-3.50, 3 Ho 3.58-3.71
Pm 0.8259 0.8259 0.9540  1 Ho 3.41, 4 Pm 3.48-3.50, 3 Pr 3.58-3.72
Pr 0.5000 0.5000 0.0000  8 Pm 3.41-3.72
Ho 0.0000 0.0000 0.5000  8 Pm 3.41-3.71

---

7.
An optimized crystal structure of LiUTeO6, computed with PBE.

Volume: 256.6 Å³/cell
Density of states at the Fermi level: 0.4427 states/eV per atom
Energy: -126.98 eV per cell
ΔE_f (raw): -1.933 eV per atom

abc: 5.5908 5.5908 9.4783
angles: 90.00 90.00 120.00
Closest atoms and distances in Å follow each position.
Positions (direct):
Li 0.0000 0.0000 0.0000  6 O 2.40
Li 0.0000 0.0000 0.5000  6 O 2.40
U 0.3333 0.6667 0.2500  6 O 2.13
U 0.6667 0.3333 0.7500  6 O 2.13
Te 0.3333 0.6667 0.7500  6 O 2.04
Te 0.6667 0.3333 0.2500  6 O 2.04
O 0.0121 0.3674 0.6374  1 Te 2.04, 1 U 2.13
O 0.0121 0.6447 0.8626  1 Te 2.04, 1 U 2.13
O 0.3553 0.3674 0.8626  1 Te 2.04, 1 U 2.13
O 0.3553 0.9879 0.6374  1 Te 2.04, 1 U 2.13
O 0.3674 0.0121 0.1374  1 Te 2.04, 1 U 2.13
O 0.3674 0.3553 0.3626  1 Te 2.04, 1 U 2.13
O 0.6326 0.6447 0.6374  1 Te 2.04, 1 U 2.13
O 0.6326 0.9879 0.8626  1 Te 2.04, 1 U 2.13
O 0.6447 0.0121 0.3626  1 Te 2.04, 1 U 2.13
O 0.6447 0.6326 0.1374  1 Te 2.04, 1 U 2.13
O 0.9879 0.3553 0.1374  1 Te 2.04, 1 U 2.13
O 0.9879 0.6326 0.3626  1 Te 2.04, 1 U 2.13

---

8.
An optimized crystal structure of TbNpSb2, computed with PBE.

Volume: 106.3 Å³/cell
Density of states at the Fermi level: 2.6792 states/eV per atom
Energy: -27.83 eV per cell
ΔE_f (raw): -0.504 eV per atom
Offset from the most stable computed form: 0.64 eV per formula unit

abc: 5.7025 5.7025 3.2684
angles: 90.00 90.00 90.00
Closest atoms and distances in Å follow each position.
Positions (direct):
Tb 0.0000 0.0000 0.0000  2 Tb 3.27, 8 Sb 3.29
Np 0.5000 0.5000 0.0000  2 Np 3.27, 8 Sb 3.29
Sb 0.0000 0.5000 0.5000  2 Sb 3.27, 4 Tb 3.29, 4 Np 3.29
Sb 0.5000 0.0000 0.5000  2 Sb 3.27, 4 Tb 3.29, 4 Np 3.29